Below is a relaxed Hg2PBr crystal, with properties calculated at the PBE-GGA level.

POSCAR file:
```
Hg2PBr
1.0
-0.941 -3.470 -2.773
1.594 -0.801 -4.175
5.373 -3.507 3.041
Br Hg P
1 2 1
Cartesian
1.478 -1.937 -1.014
5.120 -3.509 2.579
3.650 -5.236 -3.366
4.166 -4.492 -1.019
```

## Properties
Volume ... 28.6 Å³ per atom
Energy relative to the elements, uncorrected ... 53 meV per atom
Distance to the lowest polymorph of the same formula ... 0.989 eV/f.u.
Fermi-level density of states ... 0.71 states/eV/f.u.



Below is a relaxed Hg2SbP crystal, with properties calculated at the PBE-GGA level.

POSCAR file:
```
Hg2SbP
1.0
-3.328 -5.102 -3.771
-0.276 -6.917 -1.846
-3.715 -6.124 0.117
Sb Hg P
1 2 1
Cartesian
0.000 0.000 0.000
-5.570 -13.809 -4.186
-1.748 -4.334 -1.314
-3.659 -9.072 -2.750
```

## Properties
Volume ... 23.9 Å³ per atom
Energy relative to the elements, uncorrected ... 329 meV per atom
Distance to the lowest polymorph of the same formula ... 0.976 eV/f.u.
Fermi-level density of states ... 2.21 states/eV/f.u.



Below is a relaxed NaOsIN2 crystal, with properties calculated at the PBE-GGA level.

POSCAR file:
```
NaOsIN2
1.0
3.909 0.000 0.000
0.000 3.909 0.000
0.000 0.000 5.861
Os Na I N
1 1 1 2
Cartesian
0.000 0.000 0.000
1.954 1.954 2.930
0.000 0.000 2.930
1.954 0.000 0.000
0.000 1.954 0.000
```

## Properties
Volume ... 17.9 Å³ per atom
Energy relative to the elements, uncorrected ... 371 meV per atom
Distance to the lowest polymorph of the same formula ... 0.000 eV/f.u.
Fermi-level density of states ... 2.41 states/eV/f.u.